10
Lattice="3.048 0.000 0.000 0.000 3.048 0.000 0.000 0.000 12.700" Properties=species:S:1:pos:R:3 comment="GGA-PBE Ta3Mo3N4, relaxed" formation_energy_uncorrected_ev_per_atom=-0.73 mass_density_kg_m3=12480 space_group=P4mm e_tot_ev_per_cell=-108.65 total_magnetization_mub_per_cell=0.00 pbc="T T T"
N 1.524 1.524 4.105
N 0.000 0.000 10.489
Ta 0.000 0.000 8.206
N 0.000 0.000 2.193
Mo 1.524 1.524 6.345
N 1.524 1.524 8.589
Ta 1.524 1.524 10.824
Mo 0.000 0.000 0.058
Ta 0.000 0.000 4.463
Mo 1.524 1.524 1.877